10
Lattice="8.2200 0.0000 0.0000 0.0000 8.2200 0.0000 4.1100 4.1100 6.6130" Properties=species:S:1:pos:R:3 comment="Cs2BaAsBr6 (GGA-PBE, relaxed)" e_form_raw_ev_per_atom=-1.36 sg="I4/mmm, No. 139" crystal_system=tetragonal volume_a3_per_cell=446.8 pbc="T T T"
Br 2.2398 5.9803 0.0000
Br 5.9803 2.2398 0.0000
Br 4.1100 4.1100 3.4675
Br 5.9803 5.9803 0.0000
Br 8.2200 8.2200 3.1455
Br 2.2398 2.2398 0.0000
Cs 8.2200 4.1100 3.3065
Cs 4.1100 8.2200 3.3065
Ba 0.0000 0.0000 0.0000
As 4.1100 4.1100 0.0000